Cs2TmCoO4 GGA+U relaxed; electronic total energy = -5.61 eV/atom
1.0
0.0000 6.4539 11.5742
2.8021 0.0000 11.5742
2.8021 6.4539 0.0000
Cs Tm Co O
4 2 2 8
Direct
0.0560 0.0560 0.6940
0.3060 0.3060 0.9440
0.6940 0.6940 0.0560
0.9440 0.9440 0.3060
0.1250 0.1250 0.1250
0.8750 0.8750 0.8750
0.3750 0.3750 0.3750
0.6250 0.6250 0.6250
0.0250 0.6474 0.5541
0.2735 0.5541 0.6474
0.3526 0.9750 0.7265
0.4459 0.7265 0.9750
0.5541 0.2735 0.0250
0.6474 0.0250 0.2735
0.7265 0.4459 0.3526
0.9750 0.3526 0.4459